[1]
DFT (PBE) results for crystalline LuMgSbOs at its relaxed geometry.

a = 4.742 Å, b = 4.742 Å, c = 4.742 Å
α = 60.00°, β = 60.00°, γ = 60.00°
Fractional positions:
Os (0.250, 0.250, 0.250)
Mg (0.750, 0.750, 0.750)
Lu (0.000, 0.000, 0.000)
Sb (0.500, 0.500, 0.500)

Output
The energy above the most stable polymorph in this dataset comes out at 0 meV per atom. The final energy comes out at -5.465 eV per atom. As for the total magnetic moment: 0.00 μB/f.u.


[2]
DFT (PBE) results for crystalline LuSnPtC at its relaxed geometry.

a = 4.527 Å, b = 4.527 Å, c = 7.797 Å
α = 90.00°, β = 90.00°, γ = 120.00°
Fractional positions:
Sn (0.000, 0.000, 0.000)
Sn (0.000, 0.000, 0.500)
Pt (0.333, 0.667, 0.117)
Pt (0.667, 0.333, 0.883)
C (0.667, 0.333, 0.621)
C (0.333, 0.667, 0.379)
Lu (0.667, 0.333, 0.316)
Lu (0.333, 0.667, 0.684)

Output
The energy above the most stable polymorph in this dataset comes out at 173 meV per atom. The final energy comes out at -6.024 eV per atom. As for the total magnetic moment: 0.00 μB/f.u.


Which formula does entry 2 have? LuSnPtC


Which value of energy above the most stable polymorph in this dataset does entry 2 give? 173 meV per atom


Among the records above, which one has the lowest final energy? LuSnPtC


Copy entry 2 word for word.
DFT (PBE) results for crystalline LuSnPtC at its relaxed geometry.

a = 4.527 Å, b = 4.527 Å, c = 7.797 Å
α = 90.00°, β = 90.00°, γ = 120.00°
Fractional positions:
Sn (0.000, 0.000, 0.000)
Sn (0.000, 0.000, 0.500)
Pt (0.333, 0.667, 0.117)
Pt (0.667, 0.333, 0.883)
C (0.667, 0.333, 0.621)
C (0.333, 0.667, 0.379)
Lu (0.667, 0.333, 0.316)
Lu (0.333, 0.667, 0.684)

Output
The energy above the most stable polymorph in this dataset comes out at 173 meV per atom. The final energy comes out at -6.024 eV per atom. As for the total magnetic moment: 0.00 μB/f.u.